1.
## SrTc (PBE-GGA)

Data for a relaxed SrTc crystal.

The structure in POSCAR format:
```
SrTc
1.0
1.632 0.942 5.073
-1.632 0.942 5.073
0.000 -1.884 5.073
Sr Tc
1 1
direct
0.000 0.000 0.000 Sr
0.500 0.500 0.500 Tc
```

**Density**: 6.59 g/cm³
**Space group**: R-3m, No. 166
**Energy of formation**: 253 kJ/mol of formula units

2.
## Sr2Tc (PBE-GGA)

Data for a relaxed Sr2Tc crystal.

The structure in POSCAR format:
```
Sr2Tc
1.0
0.000 3.797 3.797
3.797 0.000 3.797
3.797 3.797 0.000
Sr Tc
2 1
direct
0.250 0.250 0.250 Sr
0.750 0.750 0.750 Sr
0.000 0.000 0.000 Tc
```

**Density**: 4.14 g/cm³
**Space group**: Fm-3m, No. 225
**Energy of formation**: 291 kJ/mol of formula units

3.
## Sr2Tc (PBE-GGA)

Data for a relaxed Sr2Tc crystal.

The structure in POSCAR format:
```
Sr2Tc
1.0
8.556 -1.762 0.000
8.556 1.762 0.000
-2.214 0.000 6.690
Sr Tc
4 2
direct
0.108 0.108 0.080 Sr
0.154 0.154 0.620 Sr
0.846 0.846 0.380 Sr
0.892 0.892 0.920 Sr
0.499 0.499 0.656 Tc
0.501 0.501 0.344 Tc
```

**Density**: 4.50 g/cm³
**Space group**: C2/m, No. 12
**Energy of formation**: 143 kJ/mol of formula units

Final energy in eV per atom, matching the order above: -4.7153; -3.5722; -4.0819
Distance to the lowest polymorph of the same formula in meV/atom, matching the order above: 1060; 726; 217